No. 1
Compound: MgAlBi2
Source: Alexandria via LeMat-Bulk
Functional: PBE
Structure: relaxed

Lattice parameters (Å, degrees): 4.396 4.396 7.222 72.28 72.28 60.00
Element x y z (fractional)
1 Mg 0.501 0.501 0.496
2 Al 0.665 0.665 0.004
3 Bi 0.078 0.078 0.767
4 Bi 0.256 0.256 0.233

Properties
Magnetic moment in μB/f.u.: 0.000
Mass density in g/cm³: 6.89
Polymorph energy (0 for the lowest one) in eV/atom: 0.000
Space-group type: R3m, No. 160
Energy relative to the elements in eV per atom: 0.07

---

No. 2
Compound: MgAlBi2
Source: Alexandria via LeMat-Bulk
Functional: PBE
Structure: relaxed

Lattice parameters (Å, degrees): 3.521 3.521 11.160 80.92 80.92 60.00
Element x y z (fractional)
1 Mg 0.000 0.000 0.000
2 Bi 0.100 0.100 0.700
3 Bi 0.900 0.900 0.300
4 Al 0.500 0.500 0.500

Properties
Magnetic moment in μB/f.u.: 0.000
Mass density in g/cm³: 6.61
Polymorph energy (0 for the lowest one) in eV/atom: 0.148
Space-group type: R-3m, No. 166
Energy relative to the elements in eV per atom: 0.22

---

No. 3
Compound: MgAl2Bi2
Source: Alexandria via LeMat-Bulk
Functional: PBE
Structure: relaxed

Lattice parameters (Å, degrees): 8.160 8.160 3.979 90.00 90.00 90.00
Element x y z (fractional)
1 Mg 0.000 0.000 0.000
2 Mg 0.500 0.500 0.000
3 Bi 0.330 0.830 0.000
4 Bi 0.830 0.670 0.000
5 Bi 0.670 0.170 0.000
6 Bi 0.170 0.330 0.000
7 Al 0.124 0.624 0.500
8 Al 0.624 0.876 0.500
9 Al 0.876 0.376 0.500
10 Al 0.376 0.124 0.500

Properties
Magnetic moment in μB/f.u.: 0.000
Mass density in g/cm³: 6.22
Polymorph energy (0 for the lowest one) in eV/atom: 0.069
Space-group type: P4/mbm, No. 127
Energy relative to the elements in eV per atom: 0.22

---

No. 4
Compound: MgAl2Bi2
Source: Alexandria via LeMat-Bulk
Functional: PBE
Structure: relaxed

Lattice parameters (Å, degrees): 7.638 7.638 4.312 90.00 90.00 90.00
Element x y z (fractional)
1 Mg 0.000 0.000 0.000
2 Mg 0.500 0.500 0.000
3 Bi 0.188 0.688 0.500
4 Bi 0.688 0.812 0.500
5 Bi 0.812 0.312 0.500
6 Bi 0.312 0.188 0.500
7 Al 0.378 0.878 0.000
8 Al 0.878 0.622 0.000
9 Al 0.622 0.122 0.000
10 Al 0.122 0.378 0.000

Properties
Magnetic moment in μB/f.u.: 0.000
Mass density in g/cm³: 6.55
Polymorph energy (0 for the lowest one) in eV/atom: 0.000
Space-group type: P4/mbm, No. 127
Energy relative to the elements in eV per atom: 0.15

---

No. 5
Compound: Mg2AlBi
Source: Alexandria via LeMat-Bulk
Functional: PBE
Structure: relaxed

Lattice parameters (Å, degrees): 3.322 3.322 10.680 81.05 81.05 60.00
Element x y z (fractional)
1 Mg 0.095 0.095 0.716
2 Mg 0.905 0.905 0.284
3 Bi 0.000 0.000 0.000
4 Al 0.500 0.500 0.500

Properties
Magnetic moment in μB/f.u.: 0.000
Mass density in g/cm³: 4.71
Polymorph energy (0 for the lowest one) in eV/atom: 0.080
Space-group type: R-3m, No. 166
Energy relative to the elements in eV per atom: 0.08

---

No. 6
Compound: MgAl2Bi
Source: Alexandria via LeMat-Bulk
Functional: PBE
Structure: relaxed

Lattice parameters (Å, degrees): 5.095 5.095 5.095 60.00 60.00 60.00
Element x y z (fractional)
1 Mg 0.000 0.000 0.000
2 Bi 0.500 0.500 0.500
3 Al 0.250 0.250 0.250
4 Al 0.750 0.750 0.750

Properties
Magnetic moment in μB/f.u.: 0.000
Mass density in g/cm³: 5.10
Polymorph energy (0 for the lowest one) in eV/atom: 0.000
Space-group type: Fm-3m, No. 225
Energy relative to the elements in eV per atom: 0.24

---

> Look up the mass density of the third one.

6.22 g/cm³

---

Copy entry 5 word for word.
Compound: Mg2AlBi
Source: Alexandria via LeMat-Bulk
Functional: PBE
Structure: relaxed

Lattice parameters (Å, degrees): 3.322 3.322 10.680 81.05 81.05 60.00
Element x y z (fractional)
1 Mg 0.095 0.095 0.716
2 Mg 0.905 0.905 0.284
3 Bi 0.000 0.000 0.000
4 Al 0.500 0.500 0.500

Properties
Magnetic moment in μB/f.u.: 0.000
Mass density in g/cm³: 4.71
Polymorph energy (0 for the lowest one) in eV/atom: 0.080
Space-group type: R-3m, No. 166
Energy relative to the elements in eV per atom: 0.08